Material: Ho3UBi4
Method: DFT, PBE-GGA
State: optimized geometry

Properties
V: 252.6 Å³/f.u.
Energy of formation: -0.575 eV/atom

The structure in CIF format:
```
data_Ho3UBi4
_symmetry_space_group_name_H-M 'P 1'
_symmetry_Int_Tables_number 1
_symmetry_space_group_name_Hall 'P 1'
_cell_length_a 4.449
_cell_length_b 7.751
_cell_length_c 7.751
_cell_angle_alpha 109.04
_cell_angle_beta 90.00
_cell_angle_gamma 90.00
loop_
_atom_site_label
_atom_site_fract_x
_atom_site_fract_y
_atom_site_fract_z
Bi1 0.000 0.747 0.747
Bi2 0.500 0.250 0.750
Bi3 0.000 0.253 0.253
Bi4 0.500 0.750 0.250
U1 0.500 0.000 0.000
Ho1 0.500 0.500 0.500
Ho2 0.000 0.000 0.500
Ho3 0.000 0.500 0.000
```


Material: NbAs2SeBr
Method: DFT, PBE-GGA
State: optimized geometry

Properties
Formation energy without anion corrections: 112 meV per atom
V: 127.8 Å³/f.u.
ΔE to the lowest computed polymorph: 0.000 eV/atom

The structure in CIF format:
```
data_NbAs2SeBr
_symmetry_space_group_name_H-M 'P 1'
_symmetry_Int_Tables_number 1
_symmetry_space_group_name_Hall 'P 1'
_cell_length_a 5.096
_cell_length_b 5.096
_cell_length_c 4.920
_cell_angle_alpha 90.00
_cell_angle_beta 90.00
_cell_angle_gamma 90.00
loop_
_atom_site_label
_atom_site_fract_x
_atom_site_fract_y
_atom_site_fract_z
As1 0.500 0.000 0.000
As2 0.000 0.500 0.000
Br1 0.500 0.500 0.500
Se1 0.000 0.000 0.500
Nb1 0.000 0.000 0.000
```


Ordered D(E_F) results: 6.8 3.8; unit states/eV/f.u..